[1]
First-principles (PBE) data for a geometry-optimized B2IrRu structure, as listed in Alexandria.

Geometry as CIF:
```
data_B2IrRu
_chemical_formula_sum 'B8 Ir4 Ru4'
_cell_length_a 5.062
_cell_length_b 5.062
_cell_length_c 7.935
_cell_angle_alpha 90.00
_cell_angle_beta 90.00
_cell_angle_gamma 90.00
_symmetry_space_group_name_H-M 'I -4 2 d'
_symmetry_Int_Tables_number 122
_symmetry_space_group_name_Hall 'I -4 2bw'
loop_
_atom_site_label
_atom_site_fract_x
_atom_site_fract_y
_atom_site_fract_z
_atom_site_occupancy
B1 0.249 0.250 0.125 1
Ir1 0.000 0.000 0.000 1
Ru1 0.000 0.000 0.500 1
```

Summary:
Crystal system   tetragonal
Energy above the most stable polymorph in this dataset   56.3 kJ/mol of atoms


[2]
First-principles (PBE) data for a geometry-optimized B3IrRu structure, as listed in Alexandria.

Geometry as CIF:
```
data_B3IrRu
_chemical_formula_sum 'B3 Ir1 Ru1'
_cell_length_a 4.026
_cell_length_b 4.026
_cell_length_c 4.026
_cell_angle_alpha 90.00
_cell_angle_beta 90.00
_cell_angle_gamma 90.00
_symmetry_space_group_name_H-M 'P m -3 m'
_symmetry_Int_Tables_number 221
_symmetry_space_group_name_Hall '-P 4 2 3'
loop_
_atom_site_label
_atom_site_fract_x
_atom_site_fract_y
_atom_site_fract_z
_atom_site_occupancy
B1 0.000 0.000 0.500 1
Ir1 0.000 0.000 0.000 1
Ru1 0.500 0.500 0.500 1
```

Summary:
Crystal system   cubic
Energy above the most stable polymorph in this dataset   0.0 kJ/mol of atoms